The following is a DFT calculation (PBEsol) of Y2OsRh after structural relaxation.

Output
**Total magnetic moment**: 0.00 μB/f.u.
**VASP energy**: -69.0 eV/cell
**Theoretical density**: 10.14 g/cm3
**V**: 19.27 A^3/atom

Unit cell a=3.9854 b=3.9854 c=9.7071 alpha=90.00 beta=90.00 gamma=90.00
Space group I-4m2 (No. 119)
Asymmetric unit:
Y: 0.0000 0.0000 0.0000 [2 per cell]
Y: 0.0000 0.5000 0.2500 [2 per cell]
Os: 0.0000 0.0000 0.5000 [2 per cell]
Rh: 0.0000 0.5000 0.7500 [2 per cell]